Entry from Alexandria: a relaxed structure of IrOs2Pb (PBEsol).

It has space group R-3m (No. 166, hexagonal axes), with a = 2.8567 Å, b = 2.8567 Å, c = 27.6591 Å, α = 90.00°, β = 90.00° and γ = 120.00°. The inequivalent atoms are Ir at (0.0000, 0.0000, 0.0000), Os at (0.0000, 0.0000, 0.2577) and Pb at (0.0000, 0.0000, 0.5000).

Its total DFT energy (no corrections) is -8.7275 eV per atom. For the formation energy, the calculation gives 0.836 eV per atom.